P:
# BaMnPO2

A relaxed structure of BaMnPO2 (PBE with a Hubbard U, the Alexandria database).

The spin magnetization comes out at 0.532 μB per atom. The density of states at the Fermi level is 3.77 states/eV per cell.

The structure belongs to space group P4/mmm (No. 123); the cell edges are 4.247, 4.247 and 4.682 Å and the angles 90.00°, 90.00° and 90.00°. The inequivalent atoms are Ba at (0.000, 0.000, 0.000), Mn at (0.500, 0.500, 0.500), P at (0.500, 0.500, 0.000) and O at (0.000, 0.500, 0.500).

Q:
# BaMnPO2

A relaxed structure of BaMnPO2 (PBE with a Hubbard U, the Alexandria database).

The spin magnetization comes out at 0.738 μB per atom. The density of states at the Fermi level is 3.24 states/eV per cell.

The structure belongs to space group P4/mmm (No. 123); the cell edges are 4.401, 4.401 and 6.647 Å and the angles 90.00°, 90.00° and 90.00°. The inequivalent atoms are Ba at (0.000, 0.000, 0.000), Mn at (0.500, 0.500, 0.500), P at (0.000, 0.000, 0.500) and O at (0.000, 0.500, 0.000).

The relative energies come out as P 0.000; Q 1.065, with values in eV/atom.

P:
# RbBaMnO4

A relaxed structure of RbBaMnO4 (PBE with a Hubbard U, the Alexandria database).

The spin magnetization comes out at 0.286 μB per atom. The density of states at the Fermi level is 0.00 states/eV per cell.

The structure belongs to space group Pnma (No. 62); the cell edges are 8.017, 5.980 and 10.505 Å and the angles 90.00°, 90.00° and 90.00°. The inequivalent atoms are Rb at (0.156, 0.250, 0.082), Ba at (0.002, 0.750, 0.308), Mn at (0.228, 0.250, 0.415), O at (0.015, 0.250, 0.424), O at (0.195, 0.750, 0.069) and O at (0.209, 0.512, 0.837).

Q:
# RbBaMnO4

A relaxed structure of RbBaMnO4 (PBE with a Hubbard U, the Alexandria database).

The spin magnetization comes out at 0.286 μB per atom. The density of states at the Fermi level is 0.00 states/eV per cell.

The structure belongs to space group P2_1/m (No. 11); the cell edges are 6.299, 5.858 and 8.092 Å and the angles 90.00°, 101.64° and 90.00°. The inequivalent atoms are Rb at (0.238, 0.250, 0.458), Ba at (0.266, 0.250, 0.954), Mn at (0.275, 0.750, 0.200), O at (0.083, 0.750, 0.322), O at (0.146, 0.750, 0.990) and O at (0.444, 0.517, 0.225).

The relative energies come out as P 0.000; Q 0.038, with values in eV/atom.

P:
# Ba3MnSb2O9

A relaxed structure of Ba3MnSb2O9 (PBE with a Hubbard U, the Alexandria database).

The spin magnetization comes out at 0.333 μB per atom. The density of states at the Fermi level is 0.00 states/eV per cell.

The structure belongs to space group C2/c (No. 15); the cell edges are 5.997, 10.366 and 14.825 Å and the angles 90.00°, 91.16° and 90.00°. The inequivalent atoms are Ba at (0.000, 0.003, 0.250), Ba at (0.007, 0.333, 0.588), Mn at (0.000, 0.000, 0.000), Sb at (0.013, 0.334, 0.153), O at (0.000, 0.481, 0.250), O at (0.028, 0.170, 0.086), O at (0.216, 0.414, 0.425), O at (0.220, 0.260, 0.258) and O at (0.230, 0.086, 0.905).

Q:
# Ba3MnSb2O9

A relaxed structure of Ba3MnSb2O9 (PBE with a Hubbard U, the Alexandria database).

The spin magnetization comes out at 0.332 μB per atom. The density of states at the Fermi level is 1.42 states/eV per cell.

The structure belongs to space group P-3m1 (No. 164); the cell edges are 5.8943, 5.8943 and 7.2478 Å and the angles 90.00°, 90.00° and 120.00°. The inequivalent atoms are Ba at (0.0000, 0.0000, 0.0000), Ba at (0.3333, 0.6667, 0.6582), Mn at (0.0000, 0.0000, 0.5000), Sb at (0.3333, 0.6667, 0.1712), O at (0.0000, 0.5000, 0.0000) and O at (0.1718, 0.3436, 0.3213).

The relative energies come out as P 0.000; Q 0.017, with values in eV/atom.

P:
# Ba2Mn2Sb2O

A relaxed structure of Ba2Mn2Sb2O (PBE with a Hubbard U, the Alexandria database).

The spin magnetization comes out at 1.425 μB per atom. The density of states at the Fermi level is 0.55 states/eV per cell.

The structure belongs to space group P6_3/mmc (No. 194); the cell edges are 4.8025, 4.8025 and 20.3735 Å and the angles 90.00°, 90.00° and 120.00°. The inequivalent atoms are Ba at (0.0000, 0.0000, 0.0000), Ba at (0.0000, 0.0000, 0.2500), Mn at (0.3333, 0.6667, 0.1487), Sb at (0.3333, 0.6667, 0.6114) and O at (0.3333, 0.6667, 0.2500).

Q:
# Ba2Mn2Sb2O

A relaxed structure of Ba2Mn2Sb2O (PBE with a Hubbard U, the Alexandria database).

The spin magnetization comes out at 1.429 μB per atom. The density of states at the Fermi level is 0.17 states/eV per cell.

The structure belongs to space group C2/m (No. 12); the cell edges are 12.915, 4.554 and 7.999 Å and the angles 90.00°, 122.62° and 90.00°. The inequivalent atoms are Ba at (0.044, 0.000, 0.285), Mn at (0.180, 0.500, 0.075), Sb at (0.183, 0.500, 0.712) and O at (0.000, 0.500, 0.000).

The relative energies come out as P 0.000; Q 0.046, with values in eV/atom.